The following is a DFT calculation (PBE-GGA) of crystalline AlIn2Sb at its relaxed geometry.

abc: 10.5012 10.5012 10.5012
angles: 18.35 18.35 18.35
Closest atoms and distances in Å follow each position.
Sites, in units of the cell vectors:
Sb 0.2500 0.2500 0.2500  6 Sb 3.35, 6 In 3.35
In 0.0050 0.0050 0.0050  3 Al 3.10, 6 In 3.35, 3 Sb 3.35
In 0.4950 0.4950 0.4950  3 Al 3.10, 6 In 3.35, 3 Sb 3.35
Al 0.7500 0.7500 0.7500  6 In 3.10, 6 Al 3.35

Raw total energy, eV per atom: -3.176
E_form (uncorrected), kcal/mol of atoms: 3.68

The following is a DFT calculation (PBE-GGA) of crystalline NaMo3Pt at its relaxed geometry.

abc: 4.4398 4.4398 4.4398
angles: 90.00 90.00 90.00
Closest atoms and distances in Å follow each position.
Sites, in units of the cell vectors:
Mo 0.0000 0.5000 0.0000  2 Na 2.22
Mo 0.0000 0.0000 0.5000  2 Na 2.22
Mo 0.5000 0.0000 0.0000  2 Na 2.22
Na 0.0000 0.0000 0.0000  6 Mo 2.22
Pt 0.5000 0.5000 0.5000  12 Mo 3.14

Energy relative to the elements, eV/atom: 2.41
Raw total energy, eV per atom: -5.563

The following is a DFT calculation (PBE-GGA) of crystalline BaAlCl2 at its relaxed geometry.

abc: 5.4970 5.4970 5.4970
angles: 60.00 60.00 60.00
Closest atoms and distances in Å follow each position.
Sites, in units of the cell vectors:
Cl 0.0000 0.0000 0.0000  4 Ba 3.37, 4 Cl 3.37
Cl 0.2500 0.2500 0.2500  4 Cl 3.37, 4 Al 3.37
Ba 0.7500 0.7500 0.7500  4 Cl 3.37, 4 Al 3.37
Al 0.5000 0.5000 0.5000  4 Ba 3.37, 4 Cl 3.37

Raw total energy, eV per atom: -3.133
E_form (uncorrected), kcal/mol of atoms: -18.28

The following is a DFT calculation (PBE-GGA) of crystalline Cs3SbBr6 at its relaxed geometry.

abc: 10.0079 10.0079 10.0079
angles: 91.24 91.24 91.24
Closest atoms and distances in Å follow each position.
Sites, in units of the cell vectors:
Br 0.5488 0.4354 0.2269  1 Sb 2.85
Br 0.4354 0.2269 0.5488  1 Sb 2.85
Br 0.2673 0.9396 0.0777  1 Sb 2.85
Br 0.2269 0.5488 0.4354  1 Sb 2.85
Br 0.7327 0.0604 0.9223  1 Sb 2.85
Br 0.5646 0.7731 0.4512  1 Sb 2.85
Br 0.9223 0.7327 0.0604  1 Sb 2.85
Br 0.9396 0.0777 0.2673  1 Sb 2.85
Br 0.7731 0.4512 0.5646  1 Sb 2.85
Br 0.0604 0.9223 0.7327  1 Sb 2.85
Br 0.4512 0.5646 0.7731  1 Sb 2.85
Br 0.0777 0.2673 0.9396  1 Sb 2.85
Cs 0.4300 0.9259 0.7507  6 Br 3.63-3.70
Cs 0.7507 0.4300 0.9259  6 Br 3.63-3.70
Cs 0.9259 0.7507 0.4300  6 Br 3.63-3.70
Cs 0.0741 0.2493 0.5700  6 Br 3.63-3.70
Cs 0.2493 0.5700 0.0741  6 Br 3.63-3.70
Cs 0.5700 0.0741 0.2493  6 Br 3.63-3.70
Sb 0.5000 0.5000 0.5000  6 Br 2.85
Sb 0.0000 0.0000 0.0000  6 Br 2.85

Raw total energy, eV per atom: -3.026
E_form (uncorrected), kcal/mol of atoms: -31.23

The following is a DFT calculation (PBE-GGA) of crystalline H2PdCl8 at its relaxed geometry.

abc: 5.1809 8.1922 8.1933
angles: 71.05 94.75 94.75
Closest atoms and distances in Å follow each position.
Sites, in units of the cell vectors:
H 0.2650 0.2800 0.2801  1 Cl 1.31
H 0.7350 0.7200 0.7199  1 Cl 1.31
Cl 0.3017 0.8781 0.2276  1 Pd 2.34, 1 Cl 2.61
Cl 0.6983 0.7723 0.1219  1 Pd 2.34, 1 Cl 2.61
Cl 0.3017 0.2277 0.8781  1 Pd 2.34, 1 Cl 2.61
Cl 0.5503 0.6455 0.6455  1 H 1.31
Cl 0.0997 0.8318 0.8318  1 H 2.29, 1 Pd 2.35
Cl 0.4497 0.3545 0.3545  1 H 1.31
Cl 0.9003 0.1682 0.1682  1 H 2.29, 1 Pd 2.35
Cl 0.6983 0.1219 0.7724  1 Pd 2.34, 1 Cl 2.61
Pd 0.0000 0.0000 0.0000  6 Cl 2.34-2.35

Raw total energy, eV per atom: -2.633

The following is a DFT calculation (PBE-GGA) of crystalline Mg2InRh at its relaxed geometry.

abc: 4.1862 4.1903 4.1218
angles: 90.00 90.00 90.00
Closest atoms and distances in Å follow each position.
Sites, in units of the cell vectors:
Mg 0.5000 0.5000 0.0000  4 In 2.94, 4 Rh 2.94, 4 Mg 2.96
Mg 0.0000 0.0000 0.0000  4 Rh 2.94, 4 In 2.94, 4 Mg 2.96
Rh 0.5000 0.0000 0.5000  8 Mg 2.94, 4 In 2.96
In 0.0000 0.5000 0.5000  8 Mg 2.94, 4 Rh 2.96

Energy relative to the elements, eV/atom: -0.30
Raw total energy, eV per atom: -3.622

The following is a DFT calculation (PBE-GGA) of crystalline TbUC at its relaxed geometry.

abc: 3.2330 3.2330 6.9714
angles: 103.41 103.41 90.00
Closest atoms and distances in Å follow each position.
Sites, in units of the cell vectors:
U 0.7037 0.7037 0.4073  4 C 2.35
C 0.1628 0.1628 0.3255  4 U 2.35, 1 Tb 2.36
Tb 0.9836 0.9836 0.9672  1 C 2.36

Energy relative to the elements, eV/atom: 0.30
Raw total energy, eV per atom: -8.083

The following is a DFT calculation (PBE-GGA) of crystalline AcPr2Cl at its relaxed geometry.

abc: 3.6477 3.6477 11.9388
angles: 81.21 81.21 60.00
Closest atoms and distances in Å follow each position.
Sites, in units of the cell vectors:
Cl 0.5000 0.5000 0.5000  6 Pr 3.09
Pr 0.1025 0.1025 0.6925  3 Cl 3.09
Pr 0.8975 0.8975 0.3075  3 Cl 3.09
Ac 0.0000 0.0000 0.0000  2 Pr 3.61, 6 Ac 3.65

Raw total energy, eV per atom: -4.365
E_form (uncorrected), kcal/mol of atoms: -11.22